(1)
Material: NaLaIN2
Method: DFT, PBE
State: relaxed

Formation energy without anion corrections ... 0.87 eV per atom
Energy above the most stable polymorph in this dataset ... 755 meV per atom
VASP energy ... -0.148 hartree per atom
D(E_F) ... 2.7 states/eV/cell
Crystal system ... tetragonal

Lattice parameters (Å, degrees): 4.6114 4.6114 5.1305 90.00 90.00 90.00
Last column: nearest neighbours and their distance in Å.
Space group P4/mmm (No. 123)
One atom of each set of equivalent atoms:
Na1 0.0000 0.0000 0.0000 [1 per cell]  4 N 2.31, 2 I 2.57
La1 0.5000 0.5000 0.5000 [1 per cell]  4 I 3.26, 8 N 3.45
I1 0.0000 0.0000 0.5000 [1 per cell]  2 Na 2.57
N1 0.0000 0.5000 0.0000 [2 per cell]  2 Na 2.31

(2)
Material: NaLaI2N
Method: DFT, PBE
State: relaxed

Formation energy without anion corrections ... -0.79 eV per atom
Energy above the most stable polymorph in this dataset ... 0 meV per atom
VASP energy ... -0.159 hartree per atom
D(E_F) ... 2.1 states/eV/cell
Crystal system ... tetragonal

Lattice parameters (Å, degrees): 6.5581 6.5581 4.2173 90.00 90.00 90.00
Last column: nearest neighbours and their distance in Å.
Space group P4/mmm (No. 123)
One atom of each set of equivalent atoms:
Na1 0.0000 0.0000 0.0000 [1 per cell]  8 I 3.90, 2 Na 4.22
La1 0.5000 0.5000 0.5000 [1 per cell]  2 N 2.11
I1 0.0000 0.5000 0.5000 [2 per cell]  2 La 3.28
N1 0.5000 0.5000 0.0000 [1 per cell]  2 La 2.11

(3)
Material: La2NdI2N2
Method: DFT, PBE
State: relaxed

Formation energy without anion corrections ... -1.16 eV per atom
VASP energy ... -0.223 hartree per atom
D(E_F) ... 4.3 states/eV/cell
Crystal system ... tetragonal

Lattice parameters (Å, degrees): 4.6799 4.6799 19.0688 90.00 90.00 90.00
Last column: nearest neighbours and their distance in Å.
Space group I4/mmm (No. 139)
One atom of each set of equivalent atoms:
La1 0.0000 0.0000 0.0797 [4 per cell]  4 N 2.79, 1 La 3.04
Nd1 0.0000 0.0000 0.5000 [2 per cell]  4 N 2.34
I1 0.0000 0.0000 0.3299 [4 per cell]  1 Nd 3.24
N1 0.0000 0.5000 0.0000 [4 per cell]  2 Nd 2.34

(4)
Material: LaNiIN2
Method: DFT, PBE
State: relaxed

Formation energy without anion corrections ... 0.61 eV per atom
Energy above the most stable polymorph in this dataset ... 0 meV per atom
VASP energy ... -0.190 hartree per atom
D(E_F) ... 3.3 states/eV/cell
Crystal system ... tetragonal

Lattice parameters (Å, degrees): 4.2633 4.2633 4.7583 90.00 90.00 90.00
Last column: nearest neighbours and their distance in Å.
Space group P4/mmm (No. 123)
One atom of each set of equivalent atoms:
La1 0.0000 0.0000 0.0000 [1 per cell]  4 I 3.01, 8 N 3.19
Ni1 0.5000 0.5000 0.5000 [1 per cell]  4 N 2.13, 2 I 2.38
I1 0.5000 0.5000 0.0000 [1 per cell]  2 Ni 2.38
N1 0.0000 0.5000 0.5000 [2 per cell]  2 Ni 2.13

(5)
Material: La6Ni2I3N
Method: DFT, PBE
State: relaxed

Formation energy without anion corrections ... -0.88 eV per atom
VASP energy ... -0.198 hartree per atom
D(E_F) ... 19.0 states/eV/cell
Crystal system ... monoclinic

Lattice parameters (Å, degrees): 6.8530 12.7053 8.3466 90.00 105.29 90.00
Last column: nearest neighbours and their distance in Å.
Space group C2/m (No. 12)
One atom of each set of equivalent atoms:
La1 0.2192 0.0000 0.3128 [4 per cell]  1 N 2.44
La2 0.2397 0.1579 0.6817 [8 per cell]  1 Ni 2.63, 1 N 2.78
Ni1 0.0000 0.3365 0.5000 [4 per cell]  2 La 2.63
I1 0.0000 0.1733 0.0000 [4 per cell]  6 La 3.44-3.51
I2 0.0000 0.5000 0.0000 [2 per cell]  6 La 3.43-3.63
N1 0.0000 0.0000 0.5000 [2 per cell]  2 La 2.44

(6)
Material: LaNiI2N
Method: DFT, PBE
State: relaxed

Formation energy without anion corrections ... -0.10 eV per atom
Energy above the most stable polymorph in this dataset ... 0 meV per atom
VASP energy ... -0.166 hartree per atom
D(E_F) ... 3.0 states/eV/cell
Crystal system ... tetragonal

Lattice parameters (Å, degrees): 5.8332 5.8332 3.5826 90.00 90.00 90.00
Last column: nearest neighbours and their distance in Å.
Space group P4/mmm (No. 123)
One atom of each set of equivalent atoms:
La1 0.0000 0.0000 0.0000 [1 per cell]  8 I 3.42, 2 La 3.58
Ni1 0.5000 0.5000 0.5000 [1 per cell]  2 N 1.79
I1 0.0000 0.5000 0.5000 [2 per cell]  2 Ni 2.92
N1 0.5000 0.5000 0.0000 [1 per cell]  2 Ni 1.79

(7)
Material: LaNiIN2
Method: DFT, PBE
State: relaxed

Formation energy without anion corrections ... 0.96 eV per atom
Energy above the most stable polymorph in this dataset ... 348 meV per atom
VASP energy ... -0.177 hartree per atom
D(E_F) ... 6.3 states/eV/cell
Crystal system ... tetragonal

Lattice parameters (Å, degrees): 4.2294 4.2294 6.9156 90.00 90.00 90.00
Last column: nearest neighbours and their distance in Å.
Space group P4/mmm (No. 123)
One atom of each set of equivalent atoms:
La1 0.0000 0.0000 0.0000 [1 per cell]  4 N 2.11
Ni1 0.5000 0.5000 0.5000 [1 per cell]  4 I 2.99
I1 0.0000 0.0000 0.5000 [1 per cell]  4 Ni 2.99
N1 0.0000 0.5000 0.0000 [2 per cell]  2 La 2.11

(8)
Material: LaNiI2N
Method: DFT, PBE
State: relaxed

Formation energy without anion corrections ... 0.30 eV per atom
Energy above the most stable polymorph in this dataset ... 396 meV per atom
VASP energy ... -0.152 hartree per atom
D(E_F) ... 11.2 states/eV/cell
Crystal system ... tetragonal

Lattice parameters (Å, degrees): 6.4302 6.4302 4.1328 90.00 90.00 90.00
Last column: nearest neighbours and their distance in Å.
Space group P4/mmm (No. 123)
One atom of each set of equivalent atoms:
La1 0.0000 0.0000 0.0000 [1 per cell]  2 N 2.07
Ni1 0.5000 0.5000 0.5000 [1 per cell]  8 I 3.82, 2 Ni 4.13
I1 0.0000 0.5000 0.0000 [2 per cell]  2 La 3.22
N1 0.0000 0.0000 0.5000 [1 per cell]  2 La 2.07